A crystal of Ba2LiZr relaxed with PBEsol, computed with meta-GGA SCAN.

Computed properties:
final energy = -27.5500 eV per atom
space-group type = No. 166
calculated volume = 34.010 Å³/atom
formation energy from the elements = 1.99 eV/f.u.
crystal system = trigonal

Cell lengths 3.637, 3.637, 12.060 Å; angles 81.33, 81.33, 60.00 degrees
Site moments in Bohr magnetons follow the coordinates.
Atoms (fractional coordinates):
Zr: 0.000 0.000 0.000  -0.08
Li: 0.500 0.500 0.500  0.00
Ba: 0.253 0.253 0.240  -0.02
Ba: 0.747 0.747 0.760  -0.02

***

A crystal of Ba3Lu2MoO9 relaxed with PBEsol, computed with meta-GGA SCAN.

Computed properties:
final energy = -24.6279 eV per atom
space-group type = No. 164
calculated volume = 14.627 Å³/atom
crystal system = trigonal

Cell lengths 5.916, 5.916, 7.238 Å; angles 90.00, 90.00, 120.00 degrees
Atoms (fractional coordinates):
O: 0.000 0.500 0.500
O: 0.500 0.000 0.500
O: 0.846 0.154 0.152
O: 0.154 0.308 0.848
O: 0.692 0.846 0.848
O: 0.154 0.846 0.848
O: 0.500 0.500 0.500
O: 0.846 0.692 0.152
O: 0.308 0.154 0.152
Ba: 0.000 0.000 0.500
Ba: 0.333 0.667 0.181
Ba: 0.667 0.333 0.819
Mo: 0.000 0.000 0.000
Lu: 0.333 0.667 0.667
Lu: 0.667 0.333 0.333